Here is Cs2MnCdI6 after structural relaxation from the Alexandria database. Energies are from PBE-GGA.

a b c (Å): 8.3603 8.3809 11.9269
angles (deg): 90.00 90.03 90.00
Site moments in Bohr magnetons follow the coordinates.
Atoms (fractional coordinates):
Cs 0.0071 0.9717 0.2500  0.00
Cs 0.5071 0.5283 0.7500  0.00
Cs 0.4929 0.4717 0.2500  0.00
Cs 0.9929 0.0283 0.7500  0.00
I 0.5372 0.9939 0.2550  0.03
I 0.0372 0.5061 0.7550  0.03
I 0.7813 0.7750 0.9820  0.03
I 0.2309 0.2143 0.4809  0.03
I 0.7309 0.2857 0.9809  0.03
I 0.7187 0.2750 0.5180  0.03
I 0.2813 0.7250 0.4820  0.03
I 0.2187 0.2250 0.0180  0.03
I 0.9628 0.4939 0.2450  0.03
I 0.2691 0.7143 0.0191  0.03
I 0.4628 0.0061 0.7450  0.03
I 0.7691 0.7857 0.5191  0.03
Cd 0.5000 0.0000 0.0000  0.04
Cd 0.0000 0.5000 0.5000  0.04
Mn 0.0000 0.5000 0.0000  4.32
Mn 0.5000 0.0000 0.5000  4.32

Output
**Formation energy from raw total energies**: -0.89 eV/atom
**Distance to the lowest polymorph of the same formula**: 0.0 meV/atom
**Calculated volume**: 41.78 Å³ per atom
**Total magnetic moment**: 10.00 μB per cell
**Calculated total energy**: -30.02 eV/f.u.